Entry 1:
## KTaIn2 (PBE-GGA)

Data for crystalline KTaIn2 at its relaxed geometry.

Values from the calculation:
Distance to the lowest polymorph of the same formula: 203 meV/atom
E: -4.167 eV/atom
ΔE_f: 0.440 eV per atom

Lattice parameters (Å, degrees): 9.5299 3.0454 7.7327 90.00 94.91 90.00
Closest atoms and distances in Å follow each position.
Space group C2/m (No. 12)
Unique sites:
K: 0.0000 0.0000 0.0000 x2  2 K 3.05
Ta: 0.0000 0.5000 0.5000 x2  6 In 2.94-3.02, 2 Ta 3.05
In: 0.2428 0.0000 0.6834 x4  3 Ta 2.94-3.02, 4 In 3.05-3.23

Entry 2:
## K2ICl (PBE-GGA)

Data for crystalline K2ICl at its relaxed geometry.

Values from the calculation:
E: -3.006 eV/atom

Lattice parameters (Å, degrees): 8.2407 8.2407 8.2407 90.00 90.00 90.00
Closest atoms and distances in Å follow each position.
Space group Fm-3m (No. 225)
Unique sites:
K: 0.2500 0.2500 0.2500 x8  4 Cl 3.57, 4 I 3.57
I: 0.0000 0.0000 0.0000 x4  8 K 3.57
Cl: 0.0000 0.0000 0.5000 x4  8 K 3.57

Entry 3:
## Sc2Zn2Co (PBE-GGA)

Data for crystalline Sc2Zn2Co at its relaxed geometry.

Values from the calculation:
Distance to the lowest polymorph of the same formula: 118 meV/atom
E: -4.467 eV/atom
ΔE_f: -0.004 eV per atom

Lattice parameters (Å, degrees): 3.3380 3.3380 16.4881 90.00 90.00 90.00
Closest atoms and distances in Å follow each position.
Space group I4/mmm (No. 139)
Unique sites:
Sc: 0.0000 0.0000 0.0893 x4  4 Co 2.78, 1 Sc 2.94
Zn: 0.0000 0.5000 0.2500 x4  4 Zn 2.36
Co: 0.0000 0.0000 0.5000 x2  8 Sc 2.78